[1]
Y2ScNi, optimized geometry, DFT PBE-GGA; energy relative to the elements = -0.1000 eV per atom; SG = Immm; electronic total energy = -25.44 eV for the cell shown; D(E_F) = 5.09 states/eV/cell; energy above the most stable polymorph in this dataset = 0.536 eV per formula unit
1.0
-1.793 2.581 5.220
1.793 -2.581 5.220
1.793 2.581 -5.220
Y Sc Ni
2 1 1
direct
0.197 0.197 0.000
0.803 0.803 0.000
0.500 0.000 0.500
0.000 0.500 0.500

[2]
YSc3Ni2, optimized geometry, DFT PBE-GGA; energy relative to the elements = -0.3130 eV per atom; SG = Pmc2_1; electronic total energy = -77.80 eV for the cell shown; D(E_F) = 13.10 states/eV/cell; energy above the most stable polymorph in this dataset = 0.000 eV per formula unit
1.0
3.477 0.000 0.000
0.000 8.907 0.000
0.000 0.000 7.997
Y Sc Ni
2 6 4
direct
0.000 0.072 0.000
0.000 0.928 0.500
0.000 0.295 0.661
0.000 0.705 0.161
0.500 0.222 0.320
0.500 0.437 0.981
0.500 0.563 0.481
0.500 0.778 0.820
0.000 0.424 0.258
0.000 0.576 0.758
0.500 0.085 0.719
0.500 0.915 0.219

[3]
Y2Sc3Ni2, optimized geometry, DFT PBE-GGA; energy relative to the elements = -0.2329 eV per atom; SG = C2/m; electronic total energy = -45.12 eV for the cell shown; D(E_F) = 8.57 states/eV/cell; energy above the most stable polymorph in this dataset = 0.253 eV per formula unit
1.0
5.391 -2.222 0.000
5.391 2.222 0.000
-3.109 0.000 6.469
Y Sc Ni
2 3 2
direct
0.140 0.140 0.302
0.860 0.860 0.698
0.358 0.358 0.042
0.500 0.500 0.500
0.642 0.642 0.958
0.131 0.131 0.711
0.869 0.869 0.289

[4]
Y2ScNi, optimized geometry, DFT PBE-GGA; energy relative to the elements = -0.1662 eV per atom; SG = P4mm; electronic total energy = -25.71 eV for the cell shown; D(E_F) = 5.04 states/eV/cell; energy above the most stable polymorph in this dataset = 0.272 eV per formula unit
1.0
3.356 0.000 0.000
0.000 3.356 0.000
0.000 0.000 8.537
Y Sc Ni
2 1 1
direct
0.000 0.000 0.000
0.500 0.500 0.330
0.500 0.500 0.699
0.000 0.000 0.540

[5]
Y2ScZn12Ni3, optimized geometry, DFT PBE-GGA; energy relative to the elements = 0.1197 eV per atom; SG = R-3m; electronic total energy = -49.74 eV for the cell shown; D(E_F) = 10.17 states/eV/cell
1.0
3.844 2.219 6.713
-3.844 2.219 6.713
0.000 -4.439 6.713
Y Sc Zn Ni
2 1 12 3
direct
0.089 0.089 0.089
0.911 0.911 0.911
0.500 0.500 0.500
0.025 0.666 0.666
0.263 0.263 0.643
0.263 0.643 0.263
0.334 0.334 0.975
0.334 0.975 0.334
0.357 0.737 0.737
0.643 0.263 0.263
0.666 0.025 0.666
0.666 0.666 0.025
0.737 0.357 0.737
0.737 0.737 0.357
0.975 0.334 0.334
0.000 0.500 0.500
0.500 0.000 0.500
0.500 0.500 0.000

[6]
ScZn6Ni6, optimized geometry, DFT PBE-GGA; energy relative to the elements = -0.2783 eV per atom; SG = Immm; electronic total energy = -52.28 eV for the cell shown; D(E_F) = 7.40 states/eV/cell
1.0
-2.459 4.120 4.276
2.459 -4.120 4.276
2.459 4.120 -4.276
Sc Zn Ni
1 6 6
direct
0.000 0.000 0.000
0.192 0.692 0.500
0.337 0.000 0.337
0.347 0.347 0.000
0.653 0.653 0.000
0.663 0.000 0.663
0.808 0.308 0.500
0.000 0.000 0.500
0.000 0.500 0.000
0.230 0.500 0.730
0.500 0.000 0.000
0.500 0.500 0.500
0.770 0.500 0.270

[7]
ScZnNi2, optimized geometry, DFT PBE-GGA; energy relative to the elements = -0.3800 eV per atom; SG = Imm2; electronic total energy = -20.69 eV for the cell shown; D(E_F) = 2.07 states/eV/cell
1.0
-1.825 1.841 4.106
1.825 -1.841 4.106
1.825 1.841 -4.106
Sc Zn Ni
1 1 2
direct
0.000 0.000 0.000
0.251 0.751 0.500
0.500 0.500 0.000
0.750 0.250 0.500

[8]
Sc4ZnNi2, optimized geometry, DFT PBE-GGA; energy relative to the elements = -0.2133 eV per atom; SG = R-3m; electronic total energy = -39.66 eV for the cell shown; D(E_F) = 7.80 states/eV/cell; energy above the most stable polymorph in this dataset = 0.864 eV per formula unit
1.0
2.192 1.265 8.353
-2.192 1.265 8.353
0.000 -2.531 8.353
Sc Zn Ni
4 1 2
direct
0.114 0.114 0.114
0.297 0.297 0.297
0.703 0.703 0.703
0.886 0.886 0.886
0.500 0.500 0.500
0.404 0.404 0.404
0.596 0.596 0.596

[9]
Sc3Zn4Ni4, optimized geometry, DFT PBE-GGA; energy relative to the elements = -0.3615 eV per atom; SG = Immm; electronic total energy = -51.19 eV for the cell shown; D(E_F) = 6.21 states/eV/cell
1.0
-1.870 3.508 6.532
1.870 -3.508 6.532
1.870 3.508 -6.532
Sc Zn Ni
3 4 4
direct
0.000 0.000 0.000
0.378 0.878 0.500
0.622 0.122 0.500
0.024 0.330 0.694
0.364 0.670 0.694
0.636 0.330 0.306
0.976 0.670 0.306
0.227 0.227 0.000
0.326 0.500 0.826
0.674 0.500 0.174
0.773 0.773 0.000

[10]
Sc2Zn2Ni3, optimized geometry, DFT PBE-GGA; energy relative to the elements = -0.3882 eV per atom; SG = C2/m; electronic total energy = -35.27 eV for the cell shown; D(E_F) = 4.18 states/eV/cell
1.0
3.784 -2.187 0.000
3.784 2.187 0.000
-2.515 0.000 6.426
Sc Zn Ni
2 2 3
direct
0.109 0.109 0.326
0.891 0.891 0.674
0.369 0.369 0.107
0.631 0.631 0.893
0.245 0.245 0.732
0.500 0.500 0.500
0.755 0.755 0.268

[11]
ScZn9Ni2, optimized geometry, DFT PBE-GGA; energy relative to the elements = -0.1912 eV per atom; SG = I4_1/amd; electronic total energy = -63.31 eV for the cell shown; D(E_F) = 17.13 states/eV/cell
1.0
-5.150 5.150 3.337
5.150 -5.150 3.337
5.150 5.150 -3.337
Sc Zn Ni
2 18 4
direct
0.375 0.625 0.750
0.625 0.375 0.250
0.125 0.875 0.250
0.132 0.560 0.331
0.132 0.801 0.572
0.199 0.271 0.331
0.199 0.868 0.928
0.271 0.199 0.831
0.271 0.440 0.072
0.440 0.271 0.572
0.440 0.868 0.169
0.560 0.132 0.831
0.560 0.729 0.428
0.729 0.560 0.928
0.729 0.801 0.169
0.801 0.132 0.072
0.801 0.729 0.669
0.868 0.199 0.428
0.868 0.440 0.669
0.875 0.125 0.750
0.000 0.000 0.000
0.000 0.000 0.500
0.000 0.500 0.000
0.500 0.000 0.500

[12]
Sc2ZnNi3, optimized geometry, DFT PBE-GGA; energy relative to the elements = -0.4975 eV per atom; SG = P6_3/mmc; electronic total energy = -68.53 eV for the cell shown; D(E_F) = 5.82 states/eV/cell
1.0
5.039 0.000 0.000
-2.519 4.364 0.000
0.000 0.000 7.889
Sc Zn Ni
4 2 6
direct
0.333 0.667 0.061
0.333 0.667 0.439
0.667 0.333 0.561
0.667 0.333 0.939
0.000 0.000 0.000
0.000 0.000 0.500
0.171 0.341 0.750
0.171 0.829 0.750
0.341 0.171 0.250
0.659 0.829 0.750
0.829 0.171 0.250
0.829 0.659 0.250

[13]
ScZnNi, optimized geometry, DFT PBE-GGA; energy relative to the elements = 0.2318 eV per atom; SG = F-43m; electronic total energy = -12.69 eV for the cell shown; D(E_F) = 2.64 states/eV/cell
1.0
0.000 3.062 3.062
3.062 0.000 3.062
3.062 3.062 0.000
Sc Zn Ni
1 1 1
direct
0.000 0.000 0.000
0.750 0.750 0.750
0.250 0.250 0.250

[14]
Sc6Zn5Ni, optimized geometry, DFT PBE-GGA; energy relative to the elements = -0.3904 eV per atom; SG = Cmmm; electronic total energy = -54.82 eV for the cell shown; D(E_F) = 9.71 states/eV/cell
1.0
2.351 -7.036 0.000
2.351 7.036 0.000
0.000 0.000 6.656
Sc Zn Ni
6 5 1
direct
0.000 0.000 0.241
0.000 0.000 0.759
0.338 0.662 0.245
0.338 0.662 0.755
0.662 0.338 0.245
0.662 0.338 0.755
0.169 0.831 0.500
0.171 0.829 0.000
0.500 0.500 0.500
0.829 0.171 0.000
0.831 0.169 0.500
0.500 0.500 0.000

[15]
ScZnNi, optimized geometry, DFT PBE-GGA; energy relative to the elements = -0.2595 eV per atom; SG = F-43m; electronic total energy = -14.17 eV for the cell shown; D(E_F) = 1.77 states/eV/cell
1.0
0.000 2.982 2.982
2.982 0.000 2.982
2.982 2.982 0.000
Sc Zn Ni
1 1 1
direct
0.000 0.000 0.000
0.500 0.500 0.500
0.750 0.750 0.750

[16]
Sc4ZnNi, optimized geometry, DFT PBE-GGA; energy relative to the elements = 0.4692 eV per atom; SG = F-43m; electronic total energy = -29.57 eV for the cell shown; D(E_F) = 7.26 states/eV/cell; energy above the most stable polymorph in this dataset = 4.748 eV per formula unit
1.0
0.000 3.961 3.961
3.961 0.000 3.961
3.961 3.961 0.000
Sc Zn Ni
4 1 1
direct
0.125 0.125 0.125
0.125 0.125 0.624
0.125 0.624 0.125
0.624 0.125 0.125
0.750 0.750 0.750
0.500 0.500 0.500

[17]
ScZn6Ni4, optimized geometry, DFT PBE-GGA; energy relative to the elements = -0.1181 eV per atom; SG = I-42m; electronic total energy = -38.40 eV for the cell shown; D(E_F) = 6.30 states/eV/cell
1.0
-3.084 3.084 4.502
3.084 -3.084 4.502
3.084 3.084 -4.502
Sc Zn Ni
1 6 4
direct
0.000 0.000 0.000
0.000 0.500 0.500
0.106 0.106 0.630
0.475 0.475 0.370
0.500 0.000 0.500
0.525 0.894 0.000
0.894 0.525 0.000
0.262 0.598 0.000
0.402 0.402 0.664
0.598 0.262 0.000
0.738 0.738 0.336

[18]
ScZnNi2, optimized geometry, DFT PBE-GGA; energy relative to the elements = -0.3064 eV per atom; SG = Pm; electronic total energy = -20.39 eV for the cell shown; D(E_F) = 2.25 states/eV/cell
1.0
3.315 0.000 0.000
0.000 3.801 0.000
-1.643 0.000 4.661
Sc Zn Ni
1 1 2
direct
0.000 0.000 0.000
0.700 0.500 0.398
0.269 0.000 0.535
0.421 0.500 0.840

[19]
Sc8ZnNi2, optimized geometry, DFT PBE-GGA; energy relative to the elements = -0.2026 eV per atom; SG = C2/m; electronic total energy = -65.72 eV for the cell shown; D(E_F) = 14.24 states/eV/cell
1.0
8.284 -1.671 0.000
8.284 1.671 0.000
-1.753 0.000 8.304
Sc Zn Ni
8 1 2
direct
0.026 0.026 0.196
0.134 0.134 0.674
0.320 0.320 0.618
0.347 0.347 0.999
0.653 0.653 0.001
0.680 0.680 0.382
0.866 0.866 0.326
0.974 0.974 0.804
0.500 0.500 0.500
0.244 0.244 0.215
0.756 0.756 0.785

[20]
ScZnNi, optimized geometry, DFT PBE-GGA; energy relative to the elements = -0.4233 eV per atom; SG = Imma; electronic total energy = -29.31 eV for the cell shown; D(E_F) = 3.59 states/eV/cell
1.0
-2.532 2.566 3.536
2.532 -2.566 3.536
2.532 2.566 -3.536
Sc Zn Ni
2 2 2
direct
0.380 0.130 0.250
0.620 0.870 0.750
0.000 0.000 0.500
0.000 0.500 0.000
0.000 0.500 0.500
0.500 0.500 0.000

[21]
Sc4ZnNi5, optimized geometry, DFT PBE-GGA; energy relative to the elements = -0.4533 eV per atom; SG = P4/mmm; electronic total energy = -60.04 eV for the cell shown; D(E_F) = 6.48 states/eV/cell
1.0
3.143 0.000 0.000
0.000 3.143 0.000
0.000 0.000 15.337
Sc Zn Ni
4 1 5
direct
0.000 0.000 0.105
0.000 0.000 0.315
0.000 0.000 0.685
0.000 0.000 0.895
0.000 0.000 0.500
0.500 0.500 0.000
0.500 0.500 0.211
0.500 0.500 0.416
0.500 0.500 0.584
0.500 0.500 0.789

[22]
ScZn10Ni2, optimized geometry, DFT PBE-GGA; energy relative to the elements = -0.1968 eV per atom; SG = Fmmm; electronic total energy = -33.19 eV for the cell shown; D(E_F) = 5.69 states/eV/cell; energy above the most stable polymorph in this dataset = 0.327 eV per formula unit
1.0
0.000 6.131 6.228
2.502 0.000 6.228
2.502 6.131 0.000
Sc Zn Ni
1 10 2
direct
0.000 0.000 0.000
0.000 0.500 0.000
0.015 0.657 0.343
0.287 0.507 0.493
0.343 0.985 0.015
0.493 0.713 0.287
0.500 0.000 0.500
0.507 0.287 0.713
0.657 0.015 0.985
0.713 0.493 0.507
0.985 0.343 0.657
0.000 0.000 0.500
0.500 0.500 0.000

[23]
Sc3Zn2Ni6, optimized geometry, DFT PBE-GGA; energy relative to the elements = -0.4752 eV per atom; SG = Im-3m; electronic total energy = -122.92 eV for the cell shown; D(E_F) = 11.37 states/eV/cell
1.0
-4.315 4.315 4.315
4.315 -4.315 4.315
4.315 4.315 -4.315
Sc Zn Ni
6 4 12
direct
0.000 0.294 0.294
0.000 0.706 0.706
0.294 0.000 0.294
0.294 0.294 0.000
0.706 0.000 0.706
0.706 0.706 0.000
0.000 0.000 0.500
0.000 0.500 0.000
0.500 0.000 0.000
0.500 0.500 0.500
0.000 0.344 0.656
0.000 0.656 0.344
0.312 0.656 0.656
0.344 0.000 0.656
0.344 0.344 0.688
0.344 0.656 0.000
0.344 0.688 0.344
0.656 0.000 0.344
0.656 0.312 0.656
0.656 0.344 0.000
0.656 0.656 0.312
0.688 0.344 0.344